[1]
HoMnP2Rh5: relaxed, PBE-GGA.

Summary:
Crystal system: tetragonal
E_form, eV per atom: -0.337
Mass density, g cm⁻³: 7.420

Unit cell a=4.3273 b=4.3273 c=9.5176 alpha=90.00 beta=90.00 gamma=90.00
Closest atoms and distances in Å follow each position.
Space group P4/mmm (No. 123)
One atom of each set of equivalent atoms:
1 Ho 0.0000 0.0000 0.0000 [1 per cell]  12 Rh 2.93-3.06
2 Mn 0.5000 0.5000 0.5000 [1 per cell]  2 P 2.26
3 P 0.5000 0.5000 0.2621 [2 per cell]  4 Rh 2.22, 1 Mn 2.26
4 Rh 0.0000 0.5000 0.2078 [4 per cell]  2 P 2.22
5 Rh 0.5000 0.5000 0.0000 [1 per cell]  2 P 2.49

[2]
Sm7Er12Th: relaxed, PBE-GGA.

Summary:
Crystal system: trigonal
E_form, eV per atom: 0.239
Mass density, g cm⁻³: 8.300

Unit cell a=12.1939 b=12.1939 c=15.3417 alpha=90.00 beta=90.00 gamma=120.00
Closest atoms and distances in Å follow each position.
Space group R-3 (No. 148, hexagonal axes)
One atom of each set of equivalent atoms:
1 Sm 0.0000 0.0000 0.0000 [3 per cell]  6 Er 3.22
2 Sm 0.0359 0.1854 0.3045 [18 per cell]  4 Er 3.36-3.70, 3 Sm 3.53-3.60, 1 Th 3.65
3 Er 0.0122 0.4458 0.2021 [18 per cell]  6 Er 3.28-3.64, 1 Sm 3.46, 1 Th 3.51
4 Er 0.0577 0.5867 0.5890 [18 per cell]  2 Sm 3.22-3.36, 4 Er 3.28-3.41
5 Th 0.0000 0.0000 0.5000 [3 per cell]  6 Er 3.51, 6 Sm 3.65

[3]
PmPr2Pd9: relaxed, PBE-GGA.

Summary:
Crystal system: tetragonal
E_form, eV per atom: -0.752
Mass density, g cm⁻³: 10.267

Unit cell a=4.2113 b=4.2113 c=12.6272 alpha=90.00 beta=90.00 gamma=90.00
Closest atoms and distances in Å follow each position.
Space group P4/mmm (No. 123)
One atom of each set of equivalent atoms:
1 Pm 0.0000 0.0000 0.0000 [1 per cell]  12 Pd 2.96-2.98
2 Pr 0.0000 0.0000 0.3320 [2 per cell]  12 Pd 2.98-2.99
3 Pd 0.0000 0.5000 0.1645 [4 per cell]  2 Pm 2.96, 8 Pd 2.96-2.99, 2 Pr 2.98
4 Pd 0.0000 0.5000 0.5000 [2 per cell]  8 Pd 2.98, 4 Pr 2.99
5 Pd 0.5000 0.5000 0.0000 [1 per cell]  8 Pd 2.96, 4 Pm 2.98
6 Pd 0.5000 0.5000 0.3327 [2 per cell]  4 Pr 2.98, 8 Pd 2.98-2.99

[4]
RbHoHg2F8: relaxed, PBE-GGA.

Summary:
Crystal system: triclinic
Raw formation energy, kJ/mol of atoms: -244
Mass density, g cm⁻³: 6.648

Unit cell a=4.1494 b=5.9015 c=8.2486 alpha=85.28 beta=89.03 gamma=85.61
Closest atoms and distances in Å follow each position.
Space group P-1 (No. 2)
One atom of each set of equivalent atoms:
1 Rb 0.0000 0.0000 0.0000 [1 per cell]  8 F 2.65-2.89
2 Ho 0.0000 0.0000 0.5000 [1 per cell]  8 F 2.18-2.43
3 Hg 0.4518 0.4661 0.2382 [2 per cell]  3 F 2.17-2.41
4 F 0.0266 0.7521 0.7267 [2 per cell]  1 Ho 2.28, 2 Hg 2.44-2.45
5 F 0.0484 0.7524 0.3169 [2 per cell]  1 Ho 2.18, 1 Hg 2.41
6 F 0.4588 0.2892 0.9647 [2 per cell]  1 Hg 2.17
7 F 0.4725 0.2046 0.4598 [2 per cell]  1 Hg 2.29, 2 Ho 2.38-2.43, 1 F 2.45

[5]
AcPrInPb: relaxed, PBE-GGA.

Summary:
Crystal system: cubic
E_form, eV per atom: -0.439
Mass density, g cm⁻³: 8.679

Unit cell a=8.0827 b=8.0827 c=8.0827 alpha=90.00 beta=90.00 gamma=90.00
Closest atoms and distances in Å follow each position.
Space group F-43m (No. 216)
One atom of each set of equivalent atoms:
1 Ac 0.0000 0.0000 0.0000 [4 per cell]  4 In 3.50, 4 Pb 3.50
2 Pr 0.0000 0.0000 0.5000 [4 per cell]  4 In 3.50, 4 Pb 3.50
3 In 0.2500 0.2500 0.7500 [4 per cell]  4 Ac 3.50, 4 Pr 3.50
4 Pb 0.2500 0.2500 0.2500 [4 per cell]  4 Ac 3.50, 4 Pr 3.50

[6]
TlMoPb2: relaxed, PBE-GGA.

Summary:
Crystal system: orthorhombic
E_form, eV per atom: 0.477
Mass density, g cm⁻³: 10.869

Unit cell a=3.1436 b=4.8213 c=14.4097 alpha=90.00 beta=90.00 gamma=90.00
Closest atoms and distances in Å follow each position.
Space group Imm2 (No. 44)
One atom of each set of equivalent atoms:
1 Tl 0.0000 0.0000 0.0000 [2 per cell]  2 Mo 3.11, 2 Tl 3.14
2 Mo 0.0000 0.5000 0.6859 [2 per cell]  6 Pb 2.88-3.01, 2 Tl 3.11, 2 Mo 3.14
3 Pb 0.0000 0.0000 0.3639 [2 per cell]  2 Mo 3.01, 2 Pb 3.14
4 Pb 0.0000 0.5000 0.1814 [2 per cell]  4 Mo 2.88, 2 Pb 3.14